Entry 1:
AcCe6Pb6 | PBE | relaxed

Results
DFT formation energy: -5.5 kcal/mol of atoms

Lattice parameters (Å, degrees): 6.509 6.509 11.313 90.00 90.00 120.38
Fractional coordinates of all 13 atoms:
1 Ac 0.000 0.000 0.000
2 Ce 0.000 0.500 0.250
3 Ce 0.000 0.500 0.750
4 Ce 0.500 0.000 0.250
5 Ce 0.500 0.000 0.750
6 Ce 0.500 0.500 0.245
7 Ce 0.500 0.500 0.755
8 Pb 0.000 0.000 0.309
9 Pb 0.000 0.000 0.691
10 Pb 0.329 0.671 0.000
11 Pb 0.340 0.660 0.500
12 Pb 0.660 0.340 0.500
13 Pb 0.671 0.329 0.000

Entry 2:
Pm8Er6Mg | PBE | relaxed

Results
DFT formation energy: 3.3 kcal/mol of atoms

Lattice parameters (Å, degrees): 9.338 9.338 6.457 90.00 90.00 120.00
Fractional coordinates of all 15 atoms:
1 Pm 0.039 0.276 0.176
2 Pm 0.237 0.961 0.176
3 Pm 0.276 0.237 0.824
4 Pm 0.333 0.667 0.144
5 Pm 0.667 0.333 0.856
6 Pm 0.724 0.763 0.176
7 Pm 0.763 0.039 0.824
8 Pm 0.961 0.724 0.824
9 Er 0.096 0.446 0.666
10 Er 0.350 0.904 0.666
11 Er 0.446 0.350 0.334
12 Er 0.554 0.650 0.666
13 Er 0.650 0.096 0.334
14 Er 0.904 0.554 0.334
15 Mg 0.000 0.000 0.500

Entry 3:
SrMnTl4 | PBE | relaxed

Results
DFT formation energy: 5.7 kcal/mol of atoms

Lattice parameters (Å, degrees): 6.389 6.389 6.389 60.00 60.00 60.00
Fractional coordinates of all 6 atoms:
1 Sr 0.000 0.000 0.000
2 Mn 0.250 0.250 0.250
3 Tl 0.127 0.624 0.624
4 Tl 0.624 0.127 0.624
5 Tl 0.624 0.624 0.127
6 Tl 0.624 0.624 0.624

Entry 4:
HRuCl5 | PBE | relaxed

Results
Energy: -3.5815 eV per atom

Lattice parameters (Å, degrees): 7.242 7.242 8.574 107.35 107.35 61.52
Fractional coordinates of all 14 atoms:
1 H 0.210 0.790 0.750
2 H 0.790 0.210 0.250
3 Ru 0.500 0.500 0.000
4 Ru 0.500 0.500 0.500
5 Cl 0.146 0.714 0.560
6 Cl 0.226 0.408 0.872
7 Cl 0.286 0.854 0.940
8 Cl 0.354 0.646 0.250
9 Cl 0.408 0.226 0.372
10 Cl 0.592 0.774 0.628
11 Cl 0.646 0.354 0.750
12 Cl 0.714 0.146 0.060
13 Cl 0.774 0.592 0.128
14 Cl 0.854 0.286 0.440

Entry 5:
CaYPb6 | PBE | relaxed

Results
DFT formation energy: -7.2 kcal/mol of atoms

Lattice parameters (Å, degrees): 4.879 4.879 9.944 90.00 90.00 90.00
Fractional coordinates of all 8 atoms:
1 Ca 0.000 0.000 0.000
2 Y 0.000 0.000 0.500
3 Pb 0.000 0.500 0.251
4 Pb 0.000 0.500 0.749
5 Pb 0.500 0.000 0.251
6 Pb 0.500 0.000 0.749
7 Pb 0.500 0.500 0.000
8 Pb 0.500 0.500 0.500

Entry 6:
MnOsCl2 | PBE | relaxed

Results
Formation energy from raw total energies: 2.75 eV per formula unit
ΔE to the lowest computed polymorph: 717 meV/atom

Lattice parameters (Å, degrees): 5.813 8.264 3.207 90.00 118.55 90.00
Fractional coordinates of all 8 atoms:
1 Mn 0.000 0.000 0.000
2 Mn 0.500 0.500 0.000
3 Os 0.000 0.500 0.000
4 Os 0.500 0.000 0.000
5 Cl 0.250 0.250 0.000
6 Cl 0.250 0.750 0.000
7 Cl 0.750 0.250 0.000
8 Cl 0.750 0.750 0.000

Entry 7:
Pu4CdPdAu2 | PBE | relaxed

Results
DFT formation energy: -6.3 kcal/mol of atoms

Lattice parameters (Å, degrees): 8.833 8.833 8.833 34.19 34.19 34.19
Fractional coordinates of all 8 atoms:
1 Pu 0.114 0.114 0.114
2 Pu 0.365 0.365 0.365
3 Pu 0.635 0.635 0.635
4 Pu 0.886 0.886 0.886
5 Cd 0.500 0.500 0.500
6 Pd 0.000 0.000 0.000
7 Au 0.239 0.239 0.239
8 Au 0.761 0.761 0.761

Entry 8:
Ba2Li6AgPt | PBE | relaxed

Results
DFT formation energy: -2.8 kcal/mol of atoms

Lattice parameters (Å, degrees): 7.242 7.242 7.223 119.82 119.82 90.17
Fractional coordinates of all 10 atoms:
1 Ba 0.250 0.750 0.000
2 Ba 0.750 0.250 0.000
3 Li 0.241 0.241 0.983
4 Li 0.241 0.759 0.500
5 Li 0.242 0.242 0.500
6 Li 0.758 0.758 0.500
7 Li 0.759 0.241 0.500
8 Li 0.759 0.759 0.017
9 Ag 0.500 0.500 0.500
10 Pt 0.000 0.000 0.500

Entry 9:
Tb4CeS5 | PBE | relaxed

Results
Formation energy from raw total energies: -20.20 eV per formula unit

Lattice parameters (Å, degrees): 10.464 10.464 10.464 158.33 149.06 38.09
Fractional coordinates of all 10 atoms:
1 Tb 0.099 0.099 0.000
2 Tb 0.301 0.301 0.000
3 Tb 0.699 0.699 0.000
4 Tb 0.901 0.901 0.000
5 Ce 0.500 0.500 0.000
6 S 0.000 0.500 0.500
7 S 0.200 0.700 0.500
8 S 0.397 0.897 0.500
9 S 0.603 0.103 0.500
10 S 0.800 0.300 0.500

Entry 10:
BeSeI2N | PBE | relaxed

Results
Formation energy from raw total energies: 3.04 eV per formula unit
ΔE to the lowest computed polymorph: 0 meV/atom

Lattice parameters (Å, degrees): 6.161 6.161 3.042 90.00 90.00 90.00
Fractional coordinates of all 5 atoms:
1 Be 0.000 0.000 0.000
2 Se 0.500 0.500 0.500
3 I 0.000 0.500 0.000
4 I 0.500 0.000 0.000
5 N 0.000 0.000 0.500

Entry 11:
Rb2LiHg6 | PBE | relaxed

Results
DFT formation energy: -5.4 kcal/mol of atoms

Lattice parameters (Å, degrees): 7.139 7.139 6.393 90.21 90.21 59.89
Fractional coordinates of all 9 atoms:
1 Rb 0.168 0.168 0.328
2 Rb 0.832 0.832 0.672
3 Li 0.500 0.500 0.500
4 Hg 0.156 0.674 0.188
5 Hg 0.326 0.844 0.812
6 Hg 0.330 0.330 0.813
7 Hg 0.670 0.670 0.187
8 Hg 0.674 0.156 0.188
9 Hg 0.844 0.326 0.812

Entry 12:
DyGa4Ir2Os | PBE | relaxed

Results
DFT formation energy: -9.7 kcal/mol of atoms

Lattice parameters (Å, degrees): 8.809 8.809 8.809 27.99 27.99 27.99
Fractional coordinates of all 8 atoms:
1 Dy 0.000 0.000 0.000
2 Ga 0.132 0.132 0.132
3 Ga 0.398 0.398 0.398
4 Ga 0.602 0.602 0.602
5 Ga 0.868 0.868 0.868
6 Ir 0.241 0.241 0.241
7 Ir 0.759 0.759 0.759
8 Os 0.500 0.500 0.500